# Ba3CdPd2O6 | Alexandria | PBE-GGA | relaxed
data_Ba3CdPd2O6
_chemical_formula_sum 'Ba3 Cd1 Pd2 O6'
_cell_length_a 6.146
_cell_length_b 6.146
_cell_length_c 6.871
_cell_angle_alpha 90.00
_cell_angle_beta 90.00
_cell_angle_gamma 120.00
_symmetry_space_group_name_H-M 'P 1'
_symmetry_Int_Tables_number 1
loop_
_symmetry_equiv_pos_as_xyz
'x,y,z'
loop_
_atom_site_label
_atom_site_fract_x
_atom_site_fract_y
_atom_site_fract_z
Ba1 0.333 0.667 0.632
Ba2 0.667 0.333 0.368
Ba3 0.000 0.000 0.000
Cd1 0.000 0.000 0.500
Pd1 0.667 0.333 0.849
Pd2 0.333 0.667 0.151
O1 0.663 0.831 0.302
O2 0.169 0.337 0.302
O3 0.169 0.831 0.302
O4 0.831 0.663 0.698
O5 0.337 0.169 0.698
O6 0.831 0.169 0.698
# **E_form (uncorrected)**: -15.6 eV per formula unit
# **DFT total energy**: -5.200 eV/atom